Record 1
A relaxed GdErBePd crystal, computed with GGA-PBE.

Cell and atoms, written as CIF:
```
data_GdErBePd
_cell_length_a 6.9566
_cell_length_b 6.9566
_cell_length_c 6.9566
_cell_angle_alpha 90.00
_cell_angle_beta 90.00
_cell_angle_gamma 90.00
_space_group_name_H-M_alt 'F -4 3 m'
_space_group_IT_number 216
_space_group_name_Hall 'F -4 2 3'
loop_
_atom_site_label
_atom_site_type_symbol
_atom_site_fract_x
_atom_site_fract_y
_atom_site_fract_z
Gd1 Gd 0.0000 0.0000 0.0000
Er1 Er 0.0000 0.0000 0.5000
Be1 Be 0.2500 0.2500 0.7500
Pd1 Pd 0.2500 0.2500 0.2500
```

Results
ρ: 8.68 g/cm3
formation energy: -0.348 eV per atom



Record 2
A relaxed Nb3HgIr crystal, computed with GGA-PBE.

Cell and atoms, written as CIF:
```
data_Nb3HgIr
_cell_length_a 4.8776
_cell_length_b 4.8776
_cell_length_c 4.8776
_cell_angle_alpha 90.00
_cell_angle_beta 90.00
_cell_angle_gamma 90.00
_space_group_name_H-M_alt 'P m -3 m'
_space_group_IT_number 221
_space_group_name_Hall '-P 4 2 3'
loop_
_atom_site_label
_atom_site_type_symbol
_atom_site_fract_x
_atom_site_fract_y
_atom_site_fract_z
Nb1 Nb 0.0000 0.0000 0.5000
Hg1 Hg 0.5000 0.5000 0.5000
Ir1 Ir 0.0000 0.0000 0.0000
```

Results
ρ: 9.61 g/cm3
formation energy: 0.848 eV per atom
polymorph energy (0 for the lowest one): 0 meV/atom



Record 3
A relaxed HfZnCu3 crystal, computed with GGA-PBE.

Cell and atoms, written as CIF:
```
data_HfZnCu3
_cell_length_a 8.2867
_cell_length_b 3.5519
_cell_length_c 10.1287
_cell_angle_alpha 90.00
_cell_angle_beta 90.00
_cell_angle_gamma 90.00
_space_group_name_H-M_alt 'P n m a'
_space_group_IT_number 62
loop_
_space_group_symop_operation_xyz
'x,y,z'
'-x,-y,-z'
'-x+1/2,-y,z+1/2'
'x+1/2,y,-z+1/2'
'x+1/2,-y+1/2,-z+1/2'
'-x+1/2,y+1/2,z+1/2'
'-x,y+1/2,-z'
'x,-y+1/2,z'
loop_
_atom_site_label
_atom_site_type_symbol
_atom_site_fract_x
_atom_site_fract_y
_atom_site_fract_z
Hf1 Hf 0.1612 0.2500 0.0061
Zn1 Zn 0.0841 0.2500 0.3911
Cu1 Cu 0.0932 0.7500 0.2075
Cu2 Cu 0.1314 0.2500 0.6295
Cu3 Cu 0.1313 0.7500 0.8006
```

Results
ρ: 9.68 g/cm3
formation energy: -0.043 eV per atom
polymorph energy (0 for the lowest one): 90 meV/atom



Record 4
A relaxed TiGe2Se2 crystal, computed with GGA-PBE.

Cell and atoms, written as CIF:
```
data_TiGe2Se2
_cell_length_a 3.5024
_cell_length_b 3.5024
_cell_length_c 16.8167
_cell_angle_alpha 90.00
_cell_angle_beta 90.00
_cell_angle_gamma 90.00
_space_group_name_H-M_alt 'I 4/m m m'
_space_group_IT_number 139
_space_group_name_Hall '-I 4 2'
loop_
_atom_site_label
_atom_site_type_symbol
_atom_site_fract_x
_atom_site_fract_y
_atom_site_fract_z
Ti1 Ti 0.0000 0.0000 0.0000
Ge1 Ge 0.0000 0.5000 0.2500
Se1 Se 0.0000 0.0000 0.4151
```

Results
formation energy from raw total energies: -0.135 eV per atom
ρ: 5.65 g/cm3
polymorph energy (0 for the lowest one): 0 meV/atom



Record 5
A relaxed Sm2DySb3Rh4 crystal, computed with GGA-PBE.

Cell and atoms, written as CIF:
```
data_Sm2DySb3Rh4
_cell_length_a 4.3650
_cell_length_b 4.3650
_cell_length_c 11.5109
_cell_angle_alpha 90.00
_cell_angle_beta 90.00
_cell_angle_gamma 90.00
_space_group_name_H-M_alt 'P -4 m 2'
_space_group_IT_number 115
loop_
_space_group_symop_operation_xyz
'x,y,z'
'y,-x,-z'
'-x,-y,z'
'-y,x,-z'
'-x,y,z'
'-y,-x,-z'
'x,-y,z'
'y,x,-z'
loop_
_atom_site_label
_atom_site_type_symbol
_atom_site_fract_x
_atom_site_fract_y
_atom_site_fract_z
Sm1 Sm 0.0000 0.5000 0.2242
Dy1 Dy 0.0000 0.0000 0.5000
Sb1 Sb 0.0000 0.5000 0.8684
Sb2 Sb 0.5000 0.5000 0.5000
Rh1 Rh 0.0000 0.0000 0.0000
Rh2 Rh 0.0000 0.5000 0.6462
Rh3 Rh 0.5000 0.5000 0.0000
```

Results
formation energy from raw total energies: -0.848 eV per atom
ρ: 9.39 g/cm3



Record 6
A relaxed CaPmMg crystal, computed with GGA-PBE.

Cell and atoms, written as CIF:
```
data_CaPmMg
_cell_length_a 5.6818
_cell_length_b 5.6818
_cell_length_c 3.4550
_cell_angle_alpha 90.00
_cell_angle_beta 90.00
_cell_angle_gamma 120.00
_space_group_name_H-M_alt 'P 3 m 1'
_space_group_IT_number 156
loop_
_space_group_symop_operation_xyz
'x,y,z'
'-y,x-y,z'
'-x+y,-x,z'
'-y,-x,z'
'-x+y,y,z'
'x,x-y,z'
loop_
_atom_site_label
_atom_site_type_symbol
_atom_site_fract_x
_atom_site_fract_y
_atom_site_fract_z
Ca1 Ca 0.0000 0.0000 0.0000
Pm1 Pm 0.3333 0.6667 0.4116
Mg1 Mg 0.6667 0.3333 0.7911
```

Results
ρ: 3.60 g/cm3
formation energy: 0.063 eV per atom
polymorph energy (0 for the lowest one): 112 meV/atom



Record 7
A relaxed PrLu3O crystal, computed with GGA-PBE.

Cell and atoms, written as CIF:
```
data_PrLu3O
_cell_length_a 4.8860
_cell_length_b 4.8860
_cell_length_c 4.8860
_cell_angle_alpha 90.00
_cell_angle_beta 90.00
_cell_angle_gamma 90.00
_space_group_name_H-M_alt 'P m -3 m'
_space_group_IT_number 221
_space_group_name_Hall '-P 4 2 3'
loop_
_atom_site_label
_atom_site_type_symbol
_atom_site_fract_x
_atom_site_fract_y
_atom_site_fract_z
Pr1 Pr 0.0000 0.0000 0.0000
Lu1 Lu 0.0000 0.5000 0.5000
O1 O 0.5000 0.5000 0.5000
```

Results
formation energy from raw total energies: -1.041 eV per atom
ρ: 9.71 g/cm3



Record 8
A relaxed Rb2CrRhAu crystal, computed with GGA-PBE.

Cell and atoms, written as CIF:
```
data_Rb2CrRhAu
_cell_length_a 6.6791
_cell_length_b 6.6791
_cell_length_c 4.4780
_cell_angle_alpha 90.00
_cell_angle_beta 90.00
_cell_angle_gamma 90.00
_space_group_name_H-M_alt 'P 4/m m m'
_space_group_IT_number 123
_space_group_name_Hall '-P 4 2'
loop_
_atom_site_label
_atom_site_type_symbol
_atom_site_fract_x
_atom_site_fract_y
_atom_site_fract_z
Rb1 Rb 0.0000 0.5000 0.0000
Cr1 Cr 0.0000 0.0000 0.0000
Rh1 Rh 0.0000 0.0000 0.5000
Au1 Au 0.5000 0.5000 0.5000
```

Results
ρ: 4.35 g/cm3
formation energy: 0.742 eV per atom



Record 9
A relaxed CuReB2Br crystal, computed with GGA-PBE.

Cell and atoms, written as CIF:
```
data_CuReB2Br
_cell_length_a 4.0342
_cell_length_b 4.0342
_cell_length_c 4.8547
_cell_angle_alpha 90.00
_cell_angle_beta 90.00
_cell_angle_gamma 90.00
_space_group_name_H-M_alt 'P 4/m m m'
_space_group_IT_number 123
_space_group_name_Hall '-P 4 2'
loop_
_atom_site_label
_atom_site_type_symbol
_atom_site_fract_x
_atom_site_fract_y
_atom_site_fract_z
Cu1 Cu 0.0000 0.0000 0.0000
Re1 Re 0.5000 0.5000 0.0000
B1 B 0.0000 0.5000 0.5000
Br1 Br 0.5000 0.5000 0.5000
```

Results
formation energy from raw total energies: 2.752 eV per atom
ρ: 7.38 g/cm3



Record 10
A relaxed Pr2Ho3Er crystal, computed with GGA-PBE.

Cell and atoms, written as CIF:
```
data_Pr2Ho3Er
_cell_length_a 17.1035
_cell_length_b 5.6858
_cell_length_c 9.7748
_cell_angle_alpha 90.00
_cell_angle_beta 124.83
_cell_angle_gamma 90.00
_space_group_name_H-M_alt 'C 1 2/m 1'
_space_group_IT_number 12
loop_
_space_group_symop_operation_xyz
'x,y,z'
'-x,-y,-z'
'-x,y,-z'
'x,-y,z'
'x+1/2,y+1/2,z'
'-x+1/2,-y+1/2,-z'
'-x+1/2,y+1/2,-z'
'x+1/2,-y+1/2,z'
loop_
_atom_site_label
_atom_site_type_symbol
_atom_site_fract_x
_atom_site_fract_y
_atom_site_fract_z
Pr1 Pr 0.2500 0.0000 0.0676
Pr2 Pr 0.2501 0.0000 0.4035
Ho1 Ho 0.0033 0.0000 0.8368
Ho2 Ho 0.1217 0.0000 0.6152
Ho3 Ho 0.1218 0.5000 0.1284
Er1 Er 0.0034 0.5000 0.6696
```

Results
ρ: 8.04 g/cm3
formation energy: 0.063 eV per atom
polymorph energy (0 for the lowest one): 0 meV/atom



Record 11
A relaxed AcCdH7Pd2 crystal, computed with GGA-PBE.

Cell and atoms, written as CIF:
```
data_AcCdH7Pd2
_cell_length_a 3.8821
_cell_length_b 3.8821
_cell_length_c 16.7086
_cell_angle_alpha 90.00
_cell_angle_beta 90.00
_cell_angle_gamma 90.00
_space_group_name_H-M_alt 'I -4 m 2'
_space_group_IT_number 119
_space_group_name_Hall 'I -4 -2'
loop_
_atom_site_label
_atom_site_type_symbol
_atom_site_fract_x
_atom_site_fract_y
_atom_site_fract_z
Ac1 Ac 0.0000 0.0000 0.0000
Cd1 Cd 0.0000 0.5000 0.2500
H1 H 0.0000 0.0000 0.2784
H2 H 0.0000 0.0000 0.5000
H3 H 0.0000 0.5000 0.1034
H4 H 0.0000 0.5000 0.6067
Pd1 Pd 0.0000 0.0000 0.3848
```

Results
ρ: 7.38 g/cm3
E_tot: -3.75 eV/atom



Record 12
A relaxed YSi3Hg crystal, computed with GGA-PBE.

Cell and atoms, written as CIF:
```
data_YSi3Hg
_cell_length_a 5.4099
_cell_length_b 5.4099
_cell_length_c 5.4099
_cell_angle_alpha 90.00
_cell_angle_beta 90.00
_cell_angle_gamma 90.00
_space_group_name_H-M_alt 'P m -3 m'
_space_group_IT_number 221
_space_group_name_Hall '-P 4 2 3'
loop_
_atom_site_label
_atom_site_type_symbol
_atom_site_fract_x
_atom_site_fract_y
_atom_site_fract_z
Y1 Y 0.0000 0.0000 0.0000
Si1 Si 0.0000 0.0000 0.5000
Hg1 Hg 0.5000 0.5000 0.5000
```

Results
formation energy from raw total energies: 1.085 eV per atom
ρ: 3.92 g/cm3
polymorph energy (0 for the lowest one): 257 meV/atom